A relaxed TlCuI2O crystal, computed with PBE.

The value obtained for the offset from the most stable computed form is 536.3 meV per atom. The formation energy (no corrections) comes out at 0.32 eV/atom.

```
TlCuI2O
1.0
6.1357 0.0000 0.0000
0.0000 6.1357 0.0000
0.0000 0.0000 4.0575
Tl Cu I O
1 1 2 1
Cartesian
0.0000 0.0000 0.0000
3.0679 3.0679 2.0288
0.0000 3.0679 0.0000
3.0679 0.0000 0.0000
0.0000 0.0000 2.0288
```



A relaxed CdAgBi crystal, computed with PBE.

The value obtained for the formation energy is 0.12 eV/atom.

```
CdAgBi
1.0
5.0837 0.0000 0.0000
-2.5418 4.4026 0.0000
0.0000 0.0000 3.3229
Cd Ag Bi
1 1 1
Cartesian
0.0000 0.0000 0.0000
0.0000 2.9351 0.1604
2.5418 1.4675 1.5029
```



| no. | E_tot (eV/atom) |
| --- | --- |
| 1 | -2.58 |
| 2 | -2.43 |